ScIn3O | PBE-GGA | relaxed

Cell and atoms, written as extended XYZ:
```
5
Lattice="-4.7500 0.2669 0.2709 0.0593 -2.8330 3.8312 0.3756 3.8223 2.8206" Properties=species:S:1:pos:R:3 pbc="T T T"
Sc -2.1575 0.6281 3.4613
O 0.0000 0.0000 0.0000
In 0.0297 -1.4165 1.9156
In 0.1878 1.9112 1.4103
In -2.3750 0.1334 0.1355
```

The size of the total moment comes out at 0.0 μB per cell. For the total energy, the calculation gives -21.0 eV/cell. The calculation puts the density of states at the Fermi level at 4.5 states/eV per cell. Its uncorrected formation energy is -145 kJ/mol of formula units. The excess energy over the best structure of this formula in the dataset comes out at 0 meV per atom.